Rb9SeO3 | PBE-GGA | relaxed

Unit cell a=10.281 b=10.281 c=5.634 alpha=90.00 beta=90.00 gamma=120.00
Atoms (fractional coordinates):
Rb  0.000  0.500  0.000
Rb  0.191  0.383  0.500
Rb  0.191  0.809  0.500
Rb  0.383  0.191  0.500
Rb  0.500  0.000  0.000
Rb  0.500  0.500  0.000
Rb  0.617  0.809  0.500
Rb  0.809  0.191  0.500
Rb  0.809  0.617  0.500
Se  0.000  0.000  0.000
O  0.000  0.500  0.500
O  0.500  0.000  0.500
O  0.500  0.500  0.500

Summary:
Theoretical density ... 2.89 g/cm3
Formation energy from raw total energies ... -0.75 eV/atom